{"formula": "Zr2ScIn", "functional": "meta-GGA SCAN", "state": "single point on PBEsol structure", "cell": [[4.3151, 0.0000, 0.0000], [0.0000, 4.3151, 0.0000], [-2.1575, -2.1575, 4.6192]], "species": ["Sc", "Zr", "Zr", "In"], "fractional_positions": [[0.0000, 0.0000, 0.0000], [0.7500, 0.2500, 0.5000], [0.2500, 0.7500, 0.5000], [0.5000, 0.5000, 0.0000]], "vol_a3_per_atom": 21.50, "formation_energy_ev_per_atom": -0.3310}


{"formula": "Sr2HSe", "functional": "meta-GGA SCAN", "state": "single point on PBEsol structure", "cell": [[6.4194, 0.0238, 0.0393], [-2.3383, 5.9784, -0.0393], [-2.3383, -2.7987, 5.2830]], "species": ["Sr", "Sr", "Sr", "Sr", "Se", "Se", "H", "H"], "fractional_positions": [[0.9429, 0.5679, 0.1250], [0.0571, 0.1821, 0.6250], [0.5571, 0.3750, 0.4321], [0.4429, 0.8750, 0.8179], [0.0000, 0.0000, 0.0000], [0.5000, 0.7500, 0.2500], [0.0000, 0.5000, 0.5000], [0.5000, 0.2500, 0.7500]], "vol_a3_per_atom": 25.39}


{"formula": "Sc2SbS", "functional": "meta-GGA SCAN", "state": "single point on PBEsol structure", "cell": [[4.3305, 0.0000, 0.0000], [2.1652, 3.7503, 0.0000], [2.1652, 1.2501, 7.4408]], "species": ["Sc", "Sc", "Sb", "S"], "fractional_positions": [[0.8960, 0.8960, 0.3121], [0.1040, 0.1040, 0.6879], [0.5000, 0.5000, 0.5000], [0.0000, 0.0000, 0.0000]], "vol_a3_per_atom": 30.21, "e_form_raw_ev_per_atom": -0.97}


{"formula": "Sc2CdRu2", "functional": "meta-GGA SCAN", "state": "single point on PBEsol structure", "cell": [[4.9188, 0.0000, 0.0000], [-2.4594, 4.6812, 0.0067], [0.0000, 2.5782, 4.1889]], "species": ["Sc", "Sc", "Ru", "Ru", "Cd"], "fractional_positions": [[0.7500, 0.5000, 0.7500], [0.2500, 0.5000, 0.2500], [0.6535, 0.3070, 0.3465], [0.3465, 0.6930, 0.6535], [0.0000, 0.0000, 0.0000]], "vol_a3_per_atom": 19.27, "formation_energy_ev_per_atom": 0.0281}


DFT total energy? In order: -110.3, -145.3, -79.2, -128.4 eV/cell.